Entry 1:
An optimized crystal structure of SmTm3Sb3, computed with PBE.

Geometry as CIF:
```
data_SmTm3Sb3
_chemical_formula_sum 'Sm6 Tm18 Sb18'
_space_group_name_H-M_alt 'R -3'
_space_group_IT_number 148
_space_group_name_Hall '-R 3'
_cell_length_a 8.9644
_cell_length_b 8.9644
_cell_length_c 18.2696
_cell_angle_alpha 90.00
_cell_angle_beta 90.00
_cell_angle_gamma 120.00
loop_
_atom_site_label
_atom_site_fract_x
_atom_site_fract_y
_atom_site_fract_z
Sm1 0.0000 0.0000 0.1654
Tm1 0.0017 0.7380 0.5833
Sb1 0.0037 0.6196 0.4163
```

* E_tot: -5.21 eV per atom
* uncorrected formation energy: -6.0 eV/f.u.
* energy above the lowest structure with this stoichiometry: 92 meV per atom
* spin magnetization: 0.0 μB/f.u.
* crystal system: trigonal

---

Entry 2:
An optimized crystal structure of Er5Zn2Se2, computed with PBE.

Geometry as CIF:
```
data_Er5Zn2Se2
_chemical_formula_sum 'Er20 Zn8 Se8'
_space_group_name_H-M_alt 'C m c e'
_space_group_IT_number 64
_space_group_name_Hall '-C 2ac 2'
_cell_length_a 14.833
_cell_length_b 7.615
_cell_length_c 7.513
_cell_angle_alpha 90.00
_cell_angle_beta 90.00
_cell_angle_gamma 90.00
loop_
_atom_site_label
_atom_site_fract_x
_atom_site_fract_y
_atom_site_fract_z
Er1 0.000 0.000 0.000
Er2 0.138 0.169 0.339
Zn1 0.000 0.127 0.622
Se1 0.199 0.000 0.000
```

* E_tot: -4.45 eV per atom
* uncorrected formation energy: -7.7 eV/f.u.
* spin magnetization: 0.0 μB/f.u.
* crystal system: orthorhombic